Entry 1:
! Ba2MgAlSi2, optimized geometry, DFT PBE; values from VASP
! Formation energy without anion corrections = -0.343 eV/atom
&SYSTEM
  ibrav = 0, nat = 12, ntyp = 4
/
ATOMIC_SPECIES
Ba 137.33 Ba.upf
Mg 24.30 Mg.upf
Al 26.98 Al.upf
Si 28.09 Si.upf
CELL_PARAMETERS angstrom
6.442 0.000 0.000
0.000 6.433 -0.001
-3.221 -3.218 7.929
ATOMIC_POSITIONS crystal
Ba 0.418 0.168 0.335
Ba 0.582 0.832 0.665
Ba 0.082 0.332 0.665
Ba 0.918 0.668 0.335
Mg 0.000 0.750 0.000
Mg 0.000 0.250 0.000
Al 0.500 0.750 0.000
Al 0.500 0.250 0.000
Si 0.828 0.093 0.187
Si 0.359 0.593 0.187
Si 0.641 0.407 0.813
Si 0.172 0.907 0.813


Entry 2:
! BaMgAlSi, optimized geometry, DFT PBE; values from VASP
! Formation energy without anion corrections = -0.187 eV/atom
&SYSTEM
  ibrav = 0, nat = 8, ntyp = 4
/
ATOMIC_SPECIES
Ba 137.33 Ba.upf
Mg 24.30 Mg.upf
Al 26.98 Al.upf
Si 28.09 Si.upf
CELL_PARAMETERS angstrom
4.251 0.000 0.000
0.000 4.251 0.000
0.000 0.000 12.857
ATOMIC_POSITIONS crystal
Ba 0.750 0.750 0.233
Ba 0.250 0.250 0.767
Mg 0.250 0.750 0.500
Mg 0.750 0.250 0.500
Al 0.750 0.250 0.000
Al 0.250 0.750 0.000
Si 0.750 0.750 0.886
Si 0.250 0.250 0.114


Entry 3:
! Ba2MgAlSi, optimized geometry, DFT PBE; values from VASP
! Formation energy without anion corrections = 0.544 eV/atom
&SYSTEM
  ibrav = 0, nat = 5, ntyp = 4
/
ATOMIC_SPECIES
Mg 24.30 Mg.upf
Si 28.09 Si.upf
Ba 137.33 Ba.upf
Al 26.98 Al.upf
CELL_PARAMETERS angstrom
6.395 0.000 0.000
0.000 4.927 0.000
0.000 0.000 6.395
ATOMIC_POSITIONS crystal
Mg 0.000 0.000 0.000
Si 0.500 0.500 0.500
Ba 0.000 0.000 0.500
Ba 0.500 0.000 0.000
Al 0.000 0.500 0.000


Entry 4:
! Ba2MgAl3Sn4, optimized geometry, DFT PBE; values from VASP
! Formation energy = -0.343 eV/atom
&SYSTEM
  ibrav = 0, nat = 10, ntyp = 4
/
ATOMIC_SPECIES
Ba 137.33 Ba.upf
Mg 24.30 Mg.upf
Al 26.98 Al.upf
Sn 118.71 Sn.upf
CELL_PARAMETERS angstrom
-5.067 0.391 0.324
0.199 -1.463 4.874
1.004 10.446 3.095
ATOMIC_POSITIONS crystal
Ba 0.500 0.000 0.247
Ba 0.000 0.500 0.753
Mg 0.500 0.500 0.500
Al 0.000 0.000 0.500
Al 0.500 0.000 0.883
Al 0.000 0.500 0.117
Sn 0.500 0.500 0.000
Sn 0.000 0.000 0.000
Sn 0.500 0.000 0.632
Sn 0.000 0.500 0.368


Entry 5:
! Ba2SrMg12Al3, optimized geometry, DFT PBE; values from VASP
! Formation energy = 0.302 eV/atom
&SYSTEM
  ibrav = 0, nat = 18, ntyp = 4
/
ATOMIC_SPECIES
Ba 137.33 Ba.upf
Sr 87.62 Sr.upf
Mg 24.30 Mg.upf
Al 26.98 Al.upf
CELL_PARAMETERS angstrom
-5.596 -7.460 0.419
-1.744 -3.561 8.451
-8.564 1.277 3.488
ATOMIC_POSITIONS crystal
Ba 0.584 0.584 0.584
Ba 0.416 0.416 0.416
Sr 0.000 0.000 0.000
Mg 0.275 0.275 0.873
Mg 0.832 0.832 0.488
Mg 0.488 0.832 0.832
Mg 0.873 0.275 0.275
Mg 0.832 0.488 0.832
Mg 0.275 0.873 0.275
Mg 0.725 0.725 0.127
Mg 0.168 0.168 0.512
Mg 0.512 0.168 0.168
Mg 0.127 0.725 0.725
Mg 0.168 0.512 0.168
Mg 0.725 0.127 0.725
Al 0.500 0.000 0.000
Al 0.000 0.500 0.000
Al 0.000 0.000 0.500


Entry 6:
! BaSrMgAl, optimized geometry, DFT PBE; values from VASP
! Formation energy = -0.061 eV/atom
&SYSTEM
  ibrav = 0, nat = 4, ntyp = 4
/
ATOMIC_SPECIES
Sr 87.62 Sr.upf
Mg 24.30 Mg.upf
Ba 137.33 Ba.upf
Al 26.98 Al.upf
CELL_PARAMETERS angstrom
-5.793 0.775 -0.365
-3.612 -4.560 0.673
-3.319 -0.422 4.806
ATOMIC_POSITIONS crystal
Sr 0.750 0.750 0.750
Mg 0.000 0.000 0.000
Ba 0.250 0.250 0.250
Al 0.500 0.500 0.500


Entry 7:
! BaMgAlTl, optimized geometry, DFT PBE; values from VASP
! Formation energy = -0.091 eV/atom
&SYSTEM
  ibrav = 0, nat = 4, ntyp = 4
/
ATOMIC_SPECIES
Mg 24.30 Mg.upf
Tl 204.38 Tl.upf
Ba 137.33 Ba.upf
Al 26.98 Al.upf
CELL_PARAMETERS angstrom
5.509 0.000 0.000
2.754 4.771 0.000
2.754 1.590 4.498
ATOMIC_POSITIONS crystal
Mg 0.750 0.750 0.750
Tl 0.500 0.500 0.500
Ba 0.250 0.250 0.250
Al 0.000 0.000 0.000


Entry 8:
! BaMgAl2Tl, optimized geometry, DFT PBE; values from VASP
! Formation energy = 1.174 eV/atom
&SYSTEM
  ibrav = 0, nat = 5, ntyp = 4
/
ATOMIC_SPECIES
Mg 24.30 Mg.upf
Tl 204.38 Tl.upf
Ba 137.33 Ba.upf
Al 26.98 Al.upf
CELL_PARAMETERS angstrom
6.032 0.000 0.000
0.000 6.356 0.000
0.000 0.000 6.032
ATOMIC_POSITIONS crystal
Mg 0.500 0.500 0.500
Tl 0.000 0.500 0.000
Ba 0.000 0.000 0.000
Al 0.000 0.000 0.500
Al 0.500 0.000 0.000


Entry 9:
! Ba2Mg4AlZn3, optimized geometry, DFT PBE; values from VASP
! Formation energy = -0.103 eV/atom
&SYSTEM
  ibrav = 0, nat = 10, ntyp = 4
/
ATOMIC_SPECIES
Ba 137.33 Ba.upf
Mg 24.30 Mg.upf
Al 26.98 Al.upf
Zn 65.41 Zn.upf
CELL_PARAMETERS angstrom
-1.329 -1.867 -4.042
4.169 0.959 -1.813
4.188 -11.106 3.752
ATOMIC_POSITIONS crystal
Ba 0.500 0.000 0.253
Ba 0.000 0.500 0.747
Mg 0.500 0.500 0.000
Mg 0.000 0.000 0.000
Mg 0.500 0.000 0.628
Mg 0.000 0.500 0.372
Al 0.500 0.500 0.500
Zn 0.000 0.000 0.500
Zn 0.500 0.000 0.862
Zn 0.000 0.500 0.138


Entry 10:
! BaMg4AlZn2, optimized geometry, DFT PBE; values from VASP
! Formation energy = -0.031 eV/atom
&SYSTEM
  ibrav = 0, nat = 8, ntyp = 4
/
ATOMIC_SPECIES
Ba 137.33 Ba.upf
Mg 24.30 Mg.upf
Al 26.98 Al.upf
Zn 65.41 Zn.upf
CELL_PARAMETERS angstrom
4.730 0.000 0.000
2.365 4.096 0.000
2.365 1.365 10.306
ATOMIC_POSITIONS crystal
Ba 0.000 0.000 0.000
Mg 0.410 0.410 0.770
Mg 0.867 0.867 0.400
Mg 0.133 0.133 0.600
Mg 0.590 0.590 0.230
Al 0.500 0.500 0.500
Zn 0.764 0.764 0.709
Zn 0.236 0.236 0.291


Entry 11:
! Ba2Mg6AlZn, optimized geometry, DFT PBE; values from VASP
! Formation energy = -0.047 eV/atom
&SYSTEM
  ibrav = 0, nat = 10, ntyp = 4
/
ATOMIC_SPECIES
Ba 137.33 Ba.upf
Mg 24.30 Mg.upf
Al 26.98 Al.upf
Zn 65.41 Zn.upf
CELL_PARAMETERS angstrom
-6.499 1.410 3.819
-1.843 -7.038 -0.540
-1.381 -3.880 6.015
ATOMIC_POSITIONS crystal
Ba 0.877 0.292 0.415
Ba 0.123 0.708 0.585
Mg 0.350 0.255 0.489
Mg 0.650 0.742 0.096
Mg 0.349 0.838 0.906
Mg 0.651 0.162 0.094
Mg 0.350 0.258 0.904
Mg 0.650 0.745 0.511
Al 0.000 0.000 0.000
Zn 0.500 0.500 0.000


Entry 12:
! BaMgAl2Zn, optimized geometry, DFT PBE; values from VASP
! Formation energy = -0.195 eV/atom
&SYSTEM
  ibrav = 0, nat = 5, ntyp = 4
/
ATOMIC_SPECIES
Ba 137.33 Ba.upf
Mg 24.30 Mg.upf
Al 26.98 Al.upf
Zn 65.41 Zn.upf
CELL_PARAMETERS angstrom
4.545 0.000 0.000
0.000 4.685 0.000
-2.273 -2.342 5.830
ATOMIC_POSITIONS crystal
Ba 0.441 0.441 0.882
Mg 0.192 0.692 0.385
Al 0.694 0.194 0.387
Al 0.057 0.057 0.115
Zn 0.828 0.828 0.655


Summary of DFT total energy in eV/cell
-44.168; -26.865; -11.887; -36.107; -30.447; -9.185; -9.992; -7.497; -18.820; -14.838; -18.895; -13.251
(order as listed above)
Summary of size of the total moment in μB per formula unit
0.46; 0.00; 0.00; 0.00; 0.00; 0.00; 0.00; 0.00; 0.00; 0.00; 0.00; 0.00
(order as listed above)